Entry from OQMD: SrZnSO after structural relaxation (PBE).

## Properties
Total energy in eV/cell: -154.39

a = 5.9778 Å, b = 7.8017 Å, c = 13.4264 Å
α = 90.00°, β = 90.00°, γ = 90.00°
With the nearest neighbours (Å) after each atom.
Space group Pbca (No. 61)
Symmetry-distinct sites (fractional):
Sr (0.2478, 0.1254, 0.0973) [8 per cell]  2 O 2.41-2.42
Zn (0.1786, 0.6235, 0.8184) [8 per cell]  2 O 1.94-2.00
S (0.2488, 0.1264, 0.4186) [8 per cell]  2 Zn 2.41
O (0.1551, 0.1239, 0.6945) [8 per cell]  2 Zn 1.94-2.00

---

Entry from OQMD: NpUW after structural relaxation (PBE).

## Properties
Size of the total moment in μB/f.u.: 1.918
ΔE to the lowest computed polymorph in meV per atom: 0

a = 6.2771 Å, b = 6.2771 Å, c = 6.2771 Å
α = 90.00°, β = 90.00°, γ = 90.00°
With the nearest neighbours (Å) after each atom.
Space group F-43m (No. 216)
Symmetry-distinct sites (fractional):
Np (0.0000, 0.0000, 0.0000) [4 per cell]  4 W 2.72, 4 U 2.72
U (0.2500, 0.2500, 0.7500) [4 per cell]  4 Np 2.72
W (0.2500, 0.2500, 0.2500) [4 per cell]  4 Np 2.72